1.
# AcTbSm2 (PBE, optimized geometry)
# Calculated volume = 144 Å³/cell
# M_tot = 0.00 Bohr magnetons per cell
# DFT total energy = -4.42 eV/atom
# Energy relative to the lowest polymorph listed for this composition = 32.6 kJ/mol of formula units
# DOS at the Fermi energy = 9.68 states/eV/cell
data_AcTbSm2
_cell_length_a 4.2478
_cell_length_b 4.2478
_cell_length_c 8.0070
_cell_angle_alpha 90.00
_cell_angle_beta 90.00
_cell_angle_gamma 90.00
_symmetry_space_group_name_H-M 'P 4/m m m'
_symmetry_Int_Tables_number 123
_symmetry_space_group_name_Hall '-P 4 2'
loop_
_atom_site_label
_atom_site_type_symbol
_atom_site_fract_x
_atom_site_fract_y
_atom_site_fract_z
_atom_site_occupancy
Ac1 Ac 0.0000 0.0000 0.0000 1
Tb1 Tb 0.0000 0.0000 0.5000 1
Sm1 Sm 0.5000 0.5000 0.2780 1

2.
# AcTb2Sm4 (PBE, optimized geometry)
# Calculated volume = 499 Å³/cell
# M_tot = 0.00 Bohr magnetons per cell
# DFT total energy = -4.37 eV/atom
# Energy relative to the lowest polymorph listed for this composition = 132.7 kJ/mol of formula units
# DOS at the Fermi energy = 24.89 states/eV/cell
data_AcTb2Sm4
_cell_length_a 12.2161
_cell_length_b 6.5212
_cell_length_c 6.3382
_cell_angle_alpha 90.00
_cell_angle_beta 98.76
_cell_angle_gamma 90.00
_symmetry_space_group_name_H-M 'C 1 2/m 1'
_symmetry_Int_Tables_number 12
loop_
_symmetry_equiv_pos_as_xyz
'x,y,z'
'-x,-y,-z'
'-x,y,-z'
'x,-y,z'
'x+1/2,y+1/2,z'
'-x+1/2,-y+1/2,-z'
'-x+1/2,y+1/2,-z'
'x+1/2,-y+1/2,z'
loop_
_atom_site_label
_atom_site_type_symbol
_atom_site_fract_x
_atom_site_fract_y
_atom_site_fract_z
_atom_site_occupancy
Ac1 Ac 0.0000 0.0000 0.0000 1
Tb1 Tb 0.0422 0.5000 0.2669 1
Sm1 Sm 0.1629 0.0000 0.5083 1
Sm2 Sm 0.2500 0.2500 0.0000 1

3.
# Ac3Tb7Sm2 (PBE, optimized geometry)
# Calculated volume = 857 Å³/cell
# M_tot = 0.00 Bohr magnetons per cell
# DFT total energy = -4.38 eV/atom
# DOS at the Fermi energy = 39.73 states/eV/cell
data_Ac3Tb7Sm2
_cell_length_a 5.8985
_cell_length_b 39.0504
_cell_length_c 3.7221
_cell_angle_alpha 90.00
_cell_angle_beta 90.00
_cell_angle_gamma 90.00
_symmetry_space_group_name_H-M 'C m m m'
_symmetry_Int_Tables_number 65
_symmetry_space_group_name_Hall '-C 2 2'
loop_
_atom_site_label
_atom_site_type_symbol
_atom_site_fract_x
_atom_site_fract_y
_atom_site_fract_z
_atom_site_occupancy
Ac1 Ac 0.0000 0.0000 0.0000 1
Ac2 Ac 0.0000 0.3160 0.5000 1
Tb1 Tb 0.0000 0.0741 0.5000 1
Tb2 Tb 0.0000 0.2299 0.0000 1
Tb3 Tb 0.0000 0.4127 0.0000 1
Tb4 Tb 0.0000 0.5000 0.5000 1
Sm1 Sm 0.0000 0.1459 0.0000 1